1.
Material: CsAu3
Method: DFT, PBE
State: optimized geometry

```
CsAu3
1.0
-3.715 -1.957 -1.879
-1.564 -1.057 4.194
-0.296 6.840 -0.909
Cs Au
1 3
Direct
0.000 0.000 0.000
0.500 0.500 0.000
0.284 0.284 0.567
0.716 0.716 0.433
```

Computed properties:
For the excess energy over the best structure of this formula in the dataset, the calculation gives 11.11 kcal/mol of atoms. The formation enthalpy at 0 K is 22.31 kJ per mole of atoms. For the volume, the calculation gives 128.9 Å³ per cell.



2.
Material: Cs3Au4
Method: DFT, PBE
State: optimized geometry

```
Cs3Au4
1.0
-1.466 1.456 -4.573
-2.658 -4.504 -0.583
-6.237 5.896 6.630
Cs Au
3 4
Direct
0.500 0.000 0.000
0.186 0.186 0.371
0.814 0.814 0.629
0.067 0.567 0.135
0.933 0.433 0.865
0.630 0.630 0.259
0.370 0.370 0.741
```

Computed properties:
The formation enthalpy at 0 K is -28.39 kJ per mole of atoms. For the volume, the calculation gives 269.8 Å³ per cell.



Q: Which value of formation enthalpy at 0 K does entry 1 give?
A: 22.31 kJ per mole of atoms